A relaxed BaMg2Os crystal. Source: the Alexandria database, functional PBEsol.

## Properties
The electronic total energy is -0.2835 Ry per atom. The calculated volume comes out at 88.7 Å³/cell. For the density of states at the Fermi level, the calculation gives 0.6836 states/eV/atom. The total magnetic moment comes out at 0.0 Bohr magnetons per cell. The space-group type is R-3m.

Lattice parameters (Å, degrees): 10.8014 10.8014 10.8014 16.51 16.51 16.51
With the nearest neighbours (Å) after each atom.
Atoms (fractional coordinates):
Ba 0.0000 0.0000 0.0000  6 Ba 3.10
Mg 0.2311 0.2311 0.2311  3 Os 2.73
Mg 0.7689 0.7689 0.7689  3 Os 2.73
Os 0.5000 0.5000 0.5000  6 Mg 2.73